First-principles (PBE) data for an optimized crystal structure of Y2BiPd, as listed in Alexandria via LeMat-Bulk.

* energy: -24.06 eV per formula unit
* space-group type: I-42d
* calculated formation energy: -0.51 eV/atom
* M_tot: 0.00 μB/f.u.

POSCAR file:
```
Y2BiPd
1.0
7.998 0.000 0.000
0.000 7.998 0.000
3.999 3.999 3.482
Bi Pd Y
2 2 4
Direct
0.750 0.250 0.500
0.000 0.000 0.000
0.250 0.750 0.500
0.500 0.500 0.000
0.875 0.837 0.750
0.163 0.625 0.250
0.375 0.413 0.750
0.587 0.125 0.250
```